This record from Alexandria describes a relaxed structure of Nd3AuO. The functional is PBE-GGA.

a b c (Å): 3.831 6.617 9.878
angles (deg): 90.00 90.00 106.83
Sites, in units of the cell vectors:
Nd 0.628 0.256 0.056
Nd 0.628 0.256 0.444
Nd 0.941 0.882 0.250
Nd 0.059 0.118 0.750
Nd 0.372 0.744 0.944
Nd 0.372 0.744 0.556
Au 0.754 0.508 0.750
Au 0.246 0.492 0.250
O 0.000 0.000 0.000
O 0.000 0.000 0.500

Summary:
The distance to the lowest polymorph of the same formula comes out at 0.00 eV per formula unit. Its space-group type is Cmcm, No. 63. The value obtained for the uncorrected formation energy is -1427.8 meV per atom.


This record from Alexandria describes a relaxed structure of NdAuO. The functional is PBE-GGA.

a b c (Å): 3.804 3.804 8.554
angles (deg): 102.85 102.85 90.00
Sites, in units of the cell vectors:
Nd 0.909 0.909 0.818
Nd 0.091 0.091 0.182
O 0.500 0.000 0.000
O 0.000 0.500 0.000
Au 0.710 0.710 0.419
Au 0.290 0.290 0.581

Summary:
The distance to the lowest polymorph of the same formula comes out at 1.30 eV per formula unit. Its space-group type is I4/mmm, No. 139. The value obtained for the uncorrected formation energy is -1715.5 meV per atom.


This record from Alexandria describes a relaxed structure of NdPaAu2O8. The functional is PBE-GGA.

a b c (Å): 6.253 6.253 6.253
angles (deg): 109.49 109.49 109.44
Sites, in units of the cell vectors:
O 0.282 0.449 0.167
O 0.968 0.661 0.693
O 0.968 0.275 0.307
O 0.339 0.032 0.307
O 0.551 0.718 0.833
O 0.282 0.115 0.833
O 0.885 0.718 0.167
O 0.725 0.032 0.693
Au 0.750 0.250 0.500
Au 0.500 0.500 0.000
Pa 0.000 0.000 0.000
Nd 0.250 0.750 0.500

Summary:
Its space-group type is I-4m2, No. 119. The value obtained for the uncorrected formation energy is -1448.8 meV per atom.


This record from Alexandria describes a relaxed structure of Nd2PbAuO5. The functional is PBE-GGA.

a b c (Å): 6.162 6.796 6.796
angles (deg): 90.00 90.00 90.00
Sites, in units of the cell vectors:
O 0.260 0.354 0.146
O 0.740 0.854 0.354
O 0.500 0.000 0.000
O 0.260 0.854 0.354
O 0.260 0.146 0.646
O 0.740 0.354 0.146
O 0.500 0.500 0.500
O 0.740 0.646 0.854
O 0.260 0.646 0.854
O 0.740 0.146 0.646
Au 0.000 0.500 0.000
Au 0.000 0.000 0.500
Nd 0.500 0.172 0.328
Nd 0.500 0.328 0.828
Nd 0.500 0.672 0.172
Nd 0.500 0.828 0.672
Pb 0.000 0.000 0.000
Pb 0.000 0.500 0.500

Summary:
Its space-group type is P4/mbm, No. 127. The value obtained for the uncorrected formation energy is -1917.4 meV per atom.


This record from Alexandria describes a relaxed structure of Nd2PdAuO5. The functional is PBE-GGA.

a b c (Å): 3.549 7.076 10.721
angles (deg): 90.00 90.00 104.52
Sites, in units of the cell vectors:
Nd 0.108 0.216 0.700
Nd 0.892 0.784 0.200
Nd 0.141 0.282 0.317
Nd 0.859 0.718 0.817
O 0.722 0.444 0.128
O 0.060 0.119 0.108
O 0.341 0.682 0.979
O 0.515 0.031 0.288
O 0.278 0.556 0.628
O 0.691 0.381 0.791
O 0.659 0.318 0.479
O 0.485 0.969 0.788
O 0.309 0.619 0.291
O 0.940 0.881 0.608
Au 0.464 0.927 0.473
Au 0.536 0.073 0.973
Pd 0.201 0.402 0.039
Pd 0.799 0.598 0.539

Summary:
Its space-group type is Cmc2_1, No. 36. The value obtained for the uncorrected formation energy is -1694.5 meV per atom.


This record from Alexandria describes a relaxed structure of PmNdAu2O8. The functional is PBE-GGA.

a b c (Å): 5.645 5.645 6.596
angles (deg): 115.33 115.33 90.00
Sites, in units of the cell vectors:
Au 0.250 0.750 0.500
Au 0.500 0.500 0.000
O 0.618 0.678 0.579
O 0.322 0.039 0.421
O 0.961 0.901 0.579
O 0.134 0.577 0.923
O 0.423 0.211 0.077
O 0.789 0.346 0.923
O 0.654 0.866 0.077
O 0.099 0.382 0.421
Nd 0.750 0.250 0.500
Pm 0.000 0.000 0.000

Summary:
Its space-group type is I-4, No. 82. The value obtained for the uncorrected formation energy is -1149.3 meV per atom.


This record from Alexandria describes a relaxed structure of NdPuAuO6. The functional is PBE-GGA.

a b c (Å): 5.928 5.928 8.815
angles (deg): 90.00 90.00 120.00
Sites, in units of the cell vectors:
O 0.378 0.047 0.128
O 0.668 0.622 0.128
O 0.047 0.378 0.628
O 0.953 0.622 0.372
O 0.047 0.668 0.872
O 0.332 0.953 0.628
O 0.622 0.953 0.872
O 0.668 0.047 0.372
O 0.332 0.378 0.872
O 0.953 0.332 0.128
O 0.378 0.332 0.372
O 0.622 0.668 0.628
Pu 0.667 0.333 0.250
Pu 0.333 0.667 0.750
Au 0.000 0.000 0.000
Au 0.000 0.000 0.500
Nd 0.333 0.667 0.250
Nd 0.667 0.333 0.750

Summary:
Its space-group type is P-31c, No. 163. The value obtained for the uncorrected formation energy is -1880.0 meV per atom.


This record from Alexandria describes a relaxed structure of RbNdAuO2. The functional is PBE-GGA.

a b c (Å): 5.463 6.809 6.902
angles (deg): 94.72 90.00 90.00
Sites, in units of the cell vectors:
Rb 0.229 0.500 0.750
Rb 0.771 0.500 0.250
Nd 0.484 0.000 0.250
Nd 0.516 0.000 0.750
Au 0.000 0.000 0.500
Au 0.000 0.000 0.000
O 0.368 0.201 0.009
O 0.368 0.799 0.491
O 0.632 0.201 0.509
O 0.632 0.799 0.991

Summary:
Its space-group type is P2/c, No. 13. The value obtained for the uncorrected formation energy is -1561.1 meV per atom.


This record from Alexandria describes a relaxed structure of RbNd2AuO5. The functional is PBE-GGA.

a b c (Å): 6.877 6.877 7.926
angles (deg): 115.71 115.71 90.00
Sites, in units of the cell vectors:
Rb 0.250 0.250 0.500
Rb 0.750 0.750 0.500
O 0.246 0.746 0.229
O 0.982 0.482 0.229
O 0.500 0.500 0.000
O 0.254 0.018 0.771
O 0.000 0.000 0.000
O 0.518 0.754 0.771
O 0.754 0.254 0.771
O 0.482 0.246 0.229
O 0.018 0.518 0.771
O 0.746 0.982 0.229
Nd 0.825 0.675 0.000
Nd 0.175 0.325 0.000
Nd 0.675 0.175 0.000
Nd 0.325 0.825 0.000
Au 0.250 0.750 0.500
Au 0.750 0.250 0.500

Summary:
Its space-group type is I4/mcm, No. 140. The value obtained for the uncorrected formation energy is -1961.1 meV per atom.


This record from Alexandria describes a relaxed structure of RbNd2AuO4. The functional is PBE-GGA.

a b c (Å): 3.792 6.868 12.042
angles (deg): 90.00 90.00 106.03
Sites, in units of the cell vectors:
Nd 0.628 0.256 0.434
Nd 0.372 0.744 0.934
Nd 0.628 0.256 0.066
Nd 0.372 0.744 0.566
Au 0.239 0.478 0.250
Au 0.761 0.522 0.750
O 0.237 0.474 0.081
O 0.763 0.526 0.581
O 0.763 0.526 0.919
O 0.579 0.158 0.250
O 0.000 0.000 0.000
O 0.421 0.842 0.750
O 0.237 0.474 0.419
O 0.000 0.000 0.500
Rb 0.065 0.130 0.750
Rb 0.935 0.870 0.250

Summary:
Its space-group type is Cmcm, No. 63. The value obtained for the uncorrected formation energy is -2200.6 meV per atom.


This record from Alexandria describes a relaxed structure of Nd2AuSe2O2. The functional is PBE-GGA.

a b c (Å): 4.767 4.767 8.146
angles (deg): 90.00 90.00 120.00
Sites, in units of the cell vectors:
Nd 0.667 0.333 0.176
Nd 0.333 0.667 0.824
O 0.667 0.333 0.906
O 0.333 0.667 0.094
Se 0.000 0.000 0.338
Se 0.000 0.000 0.662
Au 0.000 0.000 0.000

Summary:
Its space-group type is P-3m1, No. 164. The value obtained for the uncorrected formation energy is -1530.5 meV per atom.


This record from Alexandria describes a relaxed structure of Sr2NdAuO5. The functional is PBE-GGA.

a b c (Å): 3.604 7.200 11.543
angles (deg): 90.00 90.00 104.49
Sites, in units of the cell vectors:
O 0.380 0.760 0.983
O 0.486 0.972 0.773
O 0.942 0.884 0.583
O 0.514 0.028 0.273
O 0.332 0.664 0.386
O 0.668 0.336 0.886
O 0.620 0.240 0.483
O 0.732 0.464 0.155
O 0.268 0.536 0.655
O 0.058 0.116 0.083
Au 0.524 0.048 0.944
Au 0.476 0.952 0.444
Sr 0.907 0.814 0.187
Sr 0.093 0.186 0.687
Sr 0.859 0.719 0.792
Sr 0.141 0.281 0.292
Nd 0.788 0.576 0.520
Nd 0.212 0.424 0.020

Summary:
Its space-group type is Cmc2_1, No. 36. The value obtained for the uncorrected formation energy is -2089.0 meV per atom.


This record from Alexandria describes a relaxed structure of SrNd2AuO5. The functional is PBE-GGA.

a b c (Å): 6.164 6.771 6.771
angles (deg): 90.00 90.00 90.00
Sites, in units of the cell vectors:
O 0.744 0.851 0.351
O 0.256 0.351 0.149
O 0.256 0.851 0.351
O 0.744 0.649 0.851
O 0.256 0.149 0.649
O 0.500 0.000 0.000
O 0.744 0.149 0.649
O 0.744 0.351 0.149
O 0.500 0.500 0.500
O 0.256 0.649 0.851
Au 0.000 0.000 0.500
Au 0.000 0.500 0.000
Nd 0.500 0.328 0.828
Nd 0.500 0.672 0.172
Nd 0.500 0.828 0.672
Nd 0.500 0.172 0.328
Sr 0.000 0.500 0.500
Sr 0.000 0.000 0.000

Summary:
Its space-group type is P4/mbm, No. 127. The value obtained for the uncorrected formation energy is -2347.7 meV per atom.


This record from Alexandria describes a relaxed structure of Nd2TlAuO5. The functional is PBE-GGA.

a b c (Å): 6.003 6.899 6.899
angles (deg): 90.00 90.00 90.00
Sites, in units of the cell vectors:
O 0.500 0.000 0.000
O 0.740 0.368 0.132
O 0.740 0.868 0.368
O 0.260 0.132 0.632
O 0.500 0.500 0.500
O 0.740 0.132 0.632
O 0.260 0.632 0.868
O 0.260 0.368 0.132
O 0.740 0.632 0.868
O 0.260 0.868 0.368
Nd 0.500 0.678 0.178
Nd 0.500 0.178 0.322
Nd 0.500 0.322 0.822
Nd 0.500 0.822 0.678
Au 0.000 0.500 0.000
Au 0.000 0.000 0.500
Tl 0.000 0.500 0.500
Tl 0.000 0.000 0.000

Summary:
Its space-group type is P4/mbm, No. 127. The value obtained for the uncorrected formation energy is -1984.0 meV per atom.


This record from Alexandria describes a relaxed structure of Nd5OsAu2. The functional is PBE-GGA.

a b c (Å): 4.322 8.607 12.321
angles (deg): 90.00 90.00 90.00
Sites, in units of the cell vectors:
Nd 0.000 0.849 0.200
Nd 0.500 0.179 0.080
Nd 0.500 0.321 0.580
Nd 0.000 0.151 0.800
Nd 0.500 0.679 0.420
Nd 0.000 0.651 0.700
Nd 0.000 0.000 0.500
Nd 0.500 0.821 0.920
Nd 0.000 0.500 0.000
Nd 0.000 0.349 0.300
Au 0.500 0.564 0.174
Au 0.500 0.936 0.674
Au 0.500 0.064 0.326
Au 0.500 0.436 0.826
Os 0.000 0.500 0.500
Os 0.000 0.000 0.000

Summary:
Its space-group type is Pbam, No. 55. Its energy relative to the elements is -44.03 kJ per mole of atoms.


This record from Alexandria describes a relaxed structure of Nd4OsAu. The functional is PBE-GGA.

a b c (Å): 6.365 8.223 8.185
angles (deg): 114.13 105.55 103.92
Sites, in units of the cell vectors:
Os 0.251 0.001 0.002
Os 0.749 0.999 0.998
Nd 0.335 0.643 0.863
Nd 0.210 0.293 0.352
Nd 0.665 0.357 0.137
Nd 0.972 0.780 0.137
Nd 0.028 0.220 0.863
Nd 0.790 0.707 0.648
Nd 0.359 0.941 0.648
Nd 0.641 0.059 0.352
Au 0.378 0.628 0.255
Au 0.622 0.372 0.745

Summary:
Its space-group type is C2/c, No. 15. Its energy relative to the elements is -31.43 kJ per mole of atoms.


This record from Alexandria describes a relaxed structure of Nd8OsAu2. The functional is PBE-GGA.

a b c (Å): 6.543 8.895 8.895
angles (deg): 125.22 106.43 106.43
Sites, in units of the cell vectors:
Nd 0.762 0.700 0.700
Nd 0.349 0.660 0.889
Nd 0.657 0.430 0.181
Nd 0.091 0.252 0.252
Nd 0.996 0.143 0.760
Nd 0.349 0.889 0.660
Nd 0.996 0.760 0.143
Nd 0.657 0.181 0.430
Au 0.430 0.701 0.285
Au 0.430 0.285 0.701
Os 0.282 0.031 0.031

Summary:
The distance to the lowest polymorph of the same formula comes out at 0.64 eV per formula unit. Its space-group type is Cm, No. 8. Its energy relative to the elements is -22.82 kJ per mole of atoms.


This record from Alexandria describes a relaxed structure of Nd5Os2Au2. The functional is PBE-GGA.

a b c (Å): 7.762 7.728 8.817
angles (deg): 90.00 63.89 90.00
Sites, in units of the cell vectors:
Au 0.787 0.000 0.427
Au 0.287 0.500 0.427
Au 0.213 0.000 0.573
Au 0.713 0.500 0.573
Os 0.385 0.888 0.000
Os 0.115 0.388 0.000
Os 0.615 0.112 0.000
Os 0.885 0.612 0.000
Nd 0.312 0.680 0.739
Nd 0.052 0.680 0.261
Nd 0.688 0.320 0.261
Nd 0.188 0.180 0.261
Nd 0.448 0.180 0.739
Nd 0.000 0.000 0.000
Nd 0.552 0.820 0.261
Nd 0.812 0.820 0.739
Nd 0.948 0.320 0.739
Nd 0.500 0.500 0.000

Summary:
Its space-group type is Cmce, No. 64. Its energy relative to the elements is -36.43 kJ per mole of atoms.


Number 1: spin magnetization 0.0 μB/f.u.. Number 2: spin magnetization 0.0 μB/f.u.. Number 3: spin magnetization 1.8 μB/f.u.. Number 4: spin magnetization 1.0 μB/f.u.. Number 5: spin magnetization 0.0 μB/f.u.. Number 6: spin magnetization 4.1 μB/f.u.. Number 7: spin magnetization 1.2 μB/f.u.. Number 8: spin magnetization 0.0 μB/f.u.. Number 9: spin magnetization 2.0 μB/f.u.. Number 10: spin magnetization 0.0 μB/f.u.. Number 11: spin magnetization 0.0 μB/f.u.. Number 12: spin magnetization 0.0 μB/f.u.. Number 13: spin magnetization 1.0 μB/f.u.. Number 14: spin magnetization 0.0 μB/f.u.. Number 15: spin magnetization 0.0 μB/f.u.. Number 16: spin magnetization 0.0 μB/f.u.. Number 17: spin magnetization 0.0 μB/f.u.. Number 18: spin magnetization 0.0 μB/f.u..